1.
A relaxed structure of Sb2TeHI, computed with PBE.

The structure in POSCAR format:
```
Sb2TeHI
1.0
5.936 0.000 0.000
0.000 5.936 0.000
0.000 0.000 6.319
Sb Te H I
2 1 1 1
Direct
0.000 0.500 0.000
0.500 0.000 0.000
0.000 0.000 0.000
0.500 0.500 0.500
0.000 0.000 0.500
```

The energy above the lowest structure with this stoichiometry comes out at 518 meV per atom. For the total energy, the calculation gives -11.1 eV for the cell shown. The symmetry is No. 123. As for the crystal system: tetragonal.

=====

2.
A relaxed structure of SbTe2HI, computed with PBE.

The structure in POSCAR format:
```
SbTe2HI
1.0
5.760 0.000 0.000
0.000 5.760 0.000
0.000 0.000 6.153
Sb Te H I
1 2 1 1
Direct
0.000 0.000 0.000
0.000 0.500 0.000
0.500 0.000 0.000
0.500 0.500 0.500
0.000 0.000 0.500
```

The energy above the lowest structure with this stoichiometry comes out at 272 meV per atom. For the total energy, the calculation gives -11.6 eV for the cell shown. The symmetry is No. 123. As for the crystal system: tetragonal.

=====

3.
A relaxed structure of SbTe2HI, computed with PBE.

The structure in POSCAR format:
```
SbTe2HI
1.0
5.935 0.000 0.000
0.000 5.935 0.000
0.000 0.000 6.040
Sb Te H I
1 2 1 1
Direct
0.000 0.000 0.000
0.000 0.500 0.500
0.500 0.000 0.500
0.500 0.500 0.000
0.000 0.000 0.500
```

The energy above the lowest structure with this stoichiometry comes out at 817 meV per atom. For the total energy, the calculation gives -8.8 eV for the cell shown. The symmetry is No. 123. As for the crystal system: tetragonal.

=====

4.
A relaxed structure of Sb2TeHI, computed with PBE.

The structure in POSCAR format:
```
Sb2TeHI
1.0
5.630 0.000 0.000
0.000 5.630 0.000
0.000 0.000 3.896
Sb Te H I
2 1 1 1
Direct
0.000 0.500 0.000
0.500 0.000 0.000
0.000 0.000 0.500
0.000 0.000 0.000
0.500 0.500 0.500
```

The energy above the lowest structure with this stoichiometry comes out at 0 meV per atom. For the total energy, the calculation gives -13.6 eV for the cell shown. The symmetry is No. 123. As for the crystal system: tetragonal.